Here is crystalline Ti3BeB4 at its relaxed geometry from the Alexandria database. Energies are from PBE.

Lattice parameters (Å, degrees): 3.285 4.492 6.362 110.67 104.96 90.00
Positions (direct):
B1 0.624 0.437 0.247
B2 0.624 0.811 0.247
B3 0.376 0.563 0.753
B4 0.376 0.189 0.753
Ti1 0.189 0.189 0.378
Ti2 0.811 0.811 0.622
Ti3 0.000 0.500 0.000
Be1 0.500 0.000 0.000

Computed properties:
Final energy (eV/cell): -57.31


Here is crystalline Ti2BeB2 at its relaxed geometry from the Alexandria database. Energies are from PBE.

Lattice parameters (Å, degrees): 5.624 5.624 3.228 90.00 90.00 90.00
Positions (direct):
Be1 0.500 0.500 0.000
Be2 0.000 0.000 0.000
B1 0.609 0.109 0.000
B2 0.891 0.609 0.000
B3 0.109 0.391 0.000
B4 0.391 0.891 0.000
Ti1 0.318 0.182 0.500
Ti2 0.182 0.682 0.500
Ti3 0.682 0.818 0.500
Ti4 0.818 0.318 0.500

Computed properties:
Energy above the lowest structure with this stoichiometry (meV/atom): 56
Final energy (eV/cell): -72.28


Here is crystalline ZrTiBe2B at its relaxed geometry from the Alexandria database. Energies are from PBE.

Lattice parameters (Å, degrees): 4.552 4.610 4.552 90.00 90.00 90.00
Positions (direct):
Zr1 0.000 0.000 0.000
Be1 0.000 0.000 0.500
Be2 0.500 0.000 0.000
B1 0.500 0.500 0.500
Ti1 0.000 0.500 0.000

Computed properties:
Final energy (eV/cell): -19.14


Here is crystalline BeTlB at its relaxed geometry from the Alexandria database. Energies are from PBE.

Lattice parameters (Å, degrees): 8.312 3.494 6.236 90.00 90.00 90.00
Positions (direct):
B1 0.563 0.750 0.795
B2 0.437 0.250 0.205
B3 0.937 0.250 0.295
B4 0.063 0.750 0.705
Tl1 0.829 0.250 0.938
Tl2 0.671 0.750 0.438
Tl3 0.171 0.750 0.062
Tl4 0.329 0.250 0.562
Be1 0.985 0.750 0.412
Be2 0.485 0.750 0.088
Be3 0.515 0.250 0.912
Be4 0.015 0.250 0.588

Computed properties:
Final energy (eV/cell): -42.91


Here is crystalline BeTl2B at its relaxed geometry from the Alexandria database. Energies are from PBE.

Lattice parameters (Å, degrees): 4.762 4.762 4.762 60.00 60.00 60.00
Positions (direct):
Tl1 0.250 0.250 0.250
Tl2 0.750 0.750 0.750
B1 0.500 0.500 0.500
Be1 0.000 0.000 0.000

Computed properties:
Energy above the lowest structure with this stoichiometry (meV/atom): 131
Final energy (eV/cell): -9.89


Here is crystalline BeTlB2 at its relaxed geometry from the Alexandria database. Energies are from PBE.

Lattice parameters (Å, degrees): 4.222 4.222 4.222 60.00 60.00 60.00
Positions (direct):
Tl1 0.500 0.500 0.500
Be1 0.000 0.000 0.000
B1 0.750 0.750 0.750
B2 0.250 0.250 0.250

Computed properties:
Energy above the lowest structure with this stoichiometry (meV/atom): 1005
Final energy (eV/cell): -12.05


Here is crystalline BeTlB at its relaxed geometry from the Alexandria database. Energies are from PBE.

Lattice parameters (Å, degrees): 3.697 3.697 9.116 73.28 73.35 58.07
Positions (direct):
Be1 0.188 0.614 0.179
Be2 0.738 0.165 0.071
Tl1 0.546 0.977 0.801
Tl2 0.379 0.803 0.449
B1 0.213 0.139 0.125
B2 0.712 0.640 0.125

Computed properties:
Final energy (eV/cell): -24.26


Here is crystalline BeTlB2 at its relaxed geometry from the Alexandria database. Energies are from PBE.

Lattice parameters (Å, degrees): 3.777 3.777 7.289 74.98 74.98 90.00
Positions (direct):
Tl1 0.000 0.000 0.000
Tl2 0.750 0.250 0.500
B1 0.375 0.573 0.750
B2 0.323 0.625 0.250
B3 0.875 0.677 0.750
B4 0.427 0.125 0.250
Be1 0.500 0.500 0.000
Be2 0.250 0.750 0.500

Computed properties:
Energy above the lowest structure with this stoichiometry (meV/atom): 0
Final energy (eV/cell): -32.13


Here is crystalline Be2TlB at its relaxed geometry from the Alexandria database. Energies are from PBE.

Lattice parameters (Å, degrees): 4.189 4.189 4.189 60.00 60.00 60.00
Positions (direct):
Be1 0.250 0.250 0.250
Be2 0.750 0.750 0.750
Tl1 0.500 0.500 0.500
B1 0.000 0.000 0.000

Computed properties:
Energy above the lowest structure with this stoichiometry (meV/atom): 694
Final energy (eV/cell): -11.20


Here is crystalline BeTl3B at its relaxed geometry from the Alexandria database. Energies are from PBE.

Lattice parameters (Å, degrees): 4.944 4.944 4.944 90.00 90.00 90.00
Positions (direct):
B1 0.000 0.000 0.000
Tl1 0.500 0.000 0.000
Tl2 0.000 0.500 0.000
Tl3 0.000 0.000 0.500
Be1 0.500 0.500 0.500

Computed properties:
Energy above the lowest structure with this stoichiometry (meV/atom): 0
Final energy (eV/cell): -12.16


Here is crystalline BeTl2B at its relaxed geometry from the Alexandria database. Energies are from PBE.

Lattice parameters (Å, degrees): 6.333 6.333 6.128 58.88 58.88 90.00
Positions (direct):
Be1 0.500 0.500 0.000
Be2 0.250 0.750 0.500
B1 0.000 0.000 0.000
B2 0.750 0.250 0.500
Tl1 0.648 0.125 0.250
Tl2 0.875 0.898 0.750
Tl3 0.102 0.625 0.250
Tl4 0.375 0.352 0.750

Computed properties:
Energy above the lowest structure with this stoichiometry (meV/atom): 0
Final energy (eV/cell): -20.83


Here is crystalline Be2TlB at its relaxed geometry from the Alexandria database. Energies are from PBE.

Lattice parameters (Å, degrees): 4.907 4.907 6.421 67.53 67.53 90.00
Positions (direct):
B1 0.250 0.750 0.500
B2 0.500 0.500 0.000
Be1 0.375 0.625 0.250
Be2 0.375 0.125 0.250
Be3 0.875 0.625 0.750
Be4 0.375 0.625 0.750
Tl1 0.000 0.000 0.000
Tl2 0.750 0.250 0.500

Computed properties:
Energy above the lowest structure with this stoichiometry (meV/atom): 0
Final energy (eV/cell): -27.96


The calculation returns the following energy relative to the elements values, one per record and in order: -3.2, -3.3, 11.4, 2.0, 5.2, 7.4, 0.6, 3.4, 5.3, 5.3, 4.7, 2.5 eV per formula unit.
The calculation returns the following Fermi-level density of states values, one per record and in order: 3.09, 1.12, 4.93, 0.69, 3.18, 2.33, 0.90, 1.52, 0.32, 1.71, 1.41, 0.00 states/eV/f.u..
The calculation returns the following total moment values, one per record and in order: 0.000, 0.000, 0.000, 0.000, 0.000, 0.000, 0.000, 0.000, 0.000, 0.000, 0.000, 0.000 μB per atom.